Entry 1:
Here is a geometry-optimized Al2CuRe structure from Alexandria. Energies are from PBE-GGA.

a b c (Å): 3.2803 3.2803 5.3297
angles (deg): 90.00 90.00 90.00
Fractional coordinates of all 4 atoms:
Al1 0.0000 0.0000 0.0000
Al2 0.5000 0.5000 0.2894
Cu1 0.0000 0.0000 0.5077
Re1 0.5000 0.5000 0.7882

Output
Magnetization = 0.000 μB/cell
Energy relative to the elements = 0.021 eV per atom

=====

Entry 2:
Here is a geometry-optimized AlCuRe2 structure from Alexandria. Energies are from PBE-GGA.

a b c (Å): 2.9841 2.9841 6.2424
angles (deg): 90.00 90.00 90.00
Fractional coordinates of all 4 atoms:
Al1 0.0000 0.0000 0.0000
Cu1 0.0000 0.0000 0.5000
Re1 0.5000 0.5000 0.2668
Re2 0.5000 0.5000 0.7332

Output
Magnetization = 0.000 μB/cell
Energy relative to the elements = 0.286 eV per atom

=====

Entry 3:
Here is a geometry-optimized Al2CuRe structure from Alexandria. Energies are from PBE-GGA.

a b c (Å): 2.6917 4.0463 5.3012
angles (deg): 90.00 100.62 90.00
Fractional coordinates of all 4 atoms:
Al1 0.1409 0.0000 0.2475
Al2 0.8591 0.0000 0.7525
Cu1 0.0000 0.5000 0.5000
Re1 0.5000 0.5000 0.0000

Output
Magnetization = 0.000 μB/cell
Energy relative to the elements = -0.085 eV per atom

=====

Entry 4:
Here is a geometry-optimized AlCuRe2 structure from Alexandria. Energies are from PBE-GGA.

a b c (Å): 3.0310 3.0310 6.1928
angles (deg): 90.00 90.00 90.00
Fractional coordinates of all 4 atoms:
Al1 0.0000 0.0000 0.0000
Cu1 0.5000 0.5000 0.2139
Re1 0.0000 0.0000 0.4912
Re2 0.5000 0.5000 0.7242

Output
Magnetization = 0.000 μB/cell
Energy relative to the elements = -0.062 eV per atom

=====

Entry 5:
Here is a geometry-optimized Al2CuRe structure from Alexandria. Energies are from PBE-GGA.

a b c (Å): 2.8029 2.8029 25.3813
angles (deg): 90.00 90.00 120.00
Fractional coordinates of all 12 atoms:
Al1 0.0000 0.0000 0.2486
Al2 0.0000 0.0000 0.7514
Al3 0.3333 0.6667 0.4181
Al4 0.3333 0.6667 0.9152
Al5 0.6667 0.3333 0.0848
Al6 0.6667 0.3333 0.5819
Cu1 0.0000 0.0000 0.5000
Cu2 0.3333 0.6667 0.1667
Cu3 0.6667 0.3333 0.8333
Re1 0.0000 0.0000 0.0000
Re2 0.3333 0.6667 0.6667
Re3 0.6667 0.3333 0.3333

Output
Magnetization = 0.000 μB/cell
Energy relative to the elements = -0.067 eV per atom

=====

Entry 6:
Here is a geometry-optimized AlCuRe2 structure from Alexandria. Energies are from PBE-GGA.

a b c (Å): 3.0633 4.2930 8.7025
angles (deg): 90.00 90.00 90.00
Fractional coordinates of all 8 atoms:
Al1 0.0000 0.0000 0.0000
Al2 0.5000 0.5000 0.5000
Cu1 0.0000 0.0000 0.5000
Cu2 0.5000 0.5000 0.0000
Re1 0.0000 0.5000 0.2500
Re2 0.0000 0.5000 0.7500
Re3 0.5000 0.0000 0.2500
Re4 0.5000 0.0000 0.7500

Output
Magnetization = 0.000 μB/cell
Energy relative to the elements = 0.100 eV per atom

=====

Entry 7:
Here is a geometry-optimized AlCuRe3 structure from Alexandria. Energies are from PBE-GGA.

a b c (Å): 4.4346 4.4346 4.4346
angles (deg): 90.00 90.00 90.00
Fractional coordinates of all 5 atoms:
Al1 0.0000 0.0000 0.0000
Cu1 0.5000 0.5000 0.5000
Re1 0.0000 0.0000 0.5000
Re2 0.0000 0.5000 0.0000
Re3 0.5000 0.0000 0.0000

Output
Magnetization = 0.000 μB/cell
Energy relative to the elements = 2.010 eV per atom

=====

Entry 8:
Here is a geometry-optimized AlCuRe2 structure from Alexandria. Energies are from PBE-GGA.

a b c (Å): 8.8555 2.7590 4.7204
angles (deg): 90.00 98.38 90.00
Fractional coordinates of all 8 atoms:
Al1 0.0000 0.0000 0.0000
Al2 0.5000 0.5000 0.0000
Cu1 0.2484 0.0000 0.7888
Cu2 0.7484 0.5000 0.7888
Re1 0.2485 0.5000 0.2879
Re2 0.4973 0.0000 0.5052
Re3 0.7485 0.0000 0.2879
Re4 0.9973 0.5000 0.5052

Output
Magnetization = 0.000 μB/cell
Energy relative to the elements = 0.065 eV per atom

=====

Entry 9:
Here is a geometry-optimized Al2CuRe structure from Alexandria. Energies are from PBE-GGA.

a b c (Å): 3.7185 3.7782 7.9474
angles (deg): 90.00 90.00 90.00
Fractional coordinates of all 8 atoms:
Al1 0.0000 0.0000 0.2493
Al2 0.0000 0.0000 0.7507
Al3 0.5000 0.5000 0.2507
Al4 0.5000 0.5000 0.7493
Cu1 0.0000 0.5000 0.5000
Cu2 0.5000 0.0000 0.0000
Re1 0.0000 0.5000 0.0000
Re2 0.5000 0.0000 0.5000

Output
Magnetization = 0.000 μB/cell
Energy relative to the elements = -0.162 eV per atom

=====

Entry 10:
Here is a geometry-optimized Al2CuRe structure from Alexandria. Energies are from PBE-GGA.

a b c (Å): 2.9933 3.2863 5.6964
angles (deg): 90.00 90.00 90.00
Fractional coordinates of all 4 atoms:
Al1 0.0000 0.0000 0.2446
Al2 0.0000 0.0000 0.7554
Cu1 0.5000 0.5000 0.5000
Re1 0.5000 0.5000 0.0000

Output
Magnetization = 0.000 μB/cell
Energy relative to the elements = -0.163 eV per atom

=====

Entry 11:
Here is a geometry-optimized AlCuRe2 structure from Alexandria. Energies are from PBE-GGA.

a b c (Å): 2.6816 4.2805 5.0211
angles (deg): 90.00 99.42 90.00
Fractional coordinates of all 4 atoms:
Al1 0.0000 0.0000 0.0000
Cu1 0.9821 0.5000 0.2304
Re1 0.3809 0.5000 0.7364
Re2 0.5982 0.0000 0.4882

Output
Magnetization = 0.000 μB/cell
Energy relative to the elements = 0.060 eV per atom

=====

Entry 12:
Here is a geometry-optimized AlCuRe2 structure from Alexandria. Energies are from PBE-GGA.

a b c (Å): 5.2787 8.5833 2.6601
angles (deg): 90.00 108.91 90.00
Fractional coordinates of all 8 atoms:
Al1 0.0000 0.0000 0.0000
Al2 0.5000 0.5000 0.0000
Cu1 0.0000 0.5000 0.0000
Cu2 0.5000 0.0000 0.0000
Re1 0.2500 0.2500 0.5000
Re2 0.2500 0.7500 0.5000
Re3 0.7500 0.2500 0.5000
Re4 0.7500 0.7500 0.5000

Output
Magnetization = 0.000 μB/cell
Energy relative to the elements = 0.121 eV per atom

=====

Entry 13:
Here is a geometry-optimized Al6CuRe structure from Alexandria. Energies are from PBE-GGA.

a b c (Å): 4.2521 12.1010 5.6032
angles (deg): 90.00 90.32 90.00
Fractional coordinates of all 16 atoms:
Al1 0.0012 0.0000 0.2472
Al2 0.0062 0.3216 0.2509
Al3 0.0062 0.6784 0.2509
Al4 0.4938 0.1784 0.7491
Al5 0.4938 0.8216 0.7491
Al6 0.4988 0.5000 0.7528
Al7 0.5012 0.5000 0.2472
Al8 0.5062 0.1784 0.2509
Al9 0.5062 0.8216 0.2509
Al10 0.9938 0.3216 0.7491
Al11 0.9938 0.6784 0.7491
Al12 0.9988 0.0000 0.7528
Cu1 0.0000 0.5000 0.5000
Cu2 0.5000 0.0000 0.5000
Re1 0.0000 0.5000 0.0000
Re2 0.5000 0.0000 0.0000

Output
Magnetization = 0.000 μB/cell
Energy relative to the elements = 0.020 eV per atom

=====

Entry 14:
Here is a geometry-optimized AlCu2Re2 structure from Alexandria. Energies are from PBE-GGA.

a b c (Å): 5.9239 5.9239 3.9049
angles (deg): 90.00 90.00 90.00
Fractional coordinates of all 10 atoms:
Al1 0.0000 0.0000 0.0000
Al2 0.5000 0.5000 0.0000
Cu1 0.1360 0.3640 0.0000
Cu2 0.3640 0.8640 0.0000
Cu3 0.6360 0.1360 0.0000
Cu4 0.8640 0.6360 0.0000
Re1 0.1641 0.6641 0.5000
Re2 0.3359 0.1641 0.5000
Re3 0.6641 0.8359 0.5000
Re4 0.8359 0.3359 0.5000

Output
Magnetization = 0.000 μB/cell
Energy relative to the elements = 0.384 eV per atom

=====

Entry 15:
Here is a geometry-optimized Al2CuRe structure from Alexandria. Energies are from PBE-GGA.

a b c (Å): 2.7129 4.0226 5.2365
angles (deg): 90.00 90.00 90.00
Fractional coordinates of all 4 atoms:
Al1 0.0000 0.0000 0.0000
Al2 0.5000 0.5000 0.2987
Cu1 0.0000 0.0000 0.5062
Re1 0.5000 0.5000 0.7963

Output
Magnetization = 0.000 μB/cell
Energy relative to the elements = -0.043 eV per atom

=====

Entry 16:
Here is a geometry-optimized Al2CuRe structure from Alexandria. Energies are from PBE-GGA.

a b c (Å): 5.7426 6.8973 2.8313
angles (deg): 90.00 90.00 90.00
Fractional coordinates of all 8 atoms:
Al1 0.2500 0.2500 0.0000
Al2 0.2500 0.7500 0.0000
Al3 0.7500 0.2500 0.0000
Al4 0.7500 0.7500 0.0000
Cu1 0.0000 0.0000 0.5000
Cu2 0.5000 0.5000 0.5000
Re1 0.0000 0.5000 0.5000
Re2 0.5000 0.0000 0.5000

Output
Magnetization = 0.000 μB/cell
Energy relative to the elements = -0.188 eV per atom

=====

Entry 17:
Here is a geometry-optimized AlCu2Re2 structure from Alexandria. Energies are from PBE-GGA.

a b c (Å): 3.3986 3.3986 12.8619
angles (deg): 90.00 90.00 90.00
Fractional coordinates of all 10 atoms:
Al1 0.0000 0.0000 0.0000
Al2 0.5000 0.5000 0.5000
Cu1 0.0000 0.5000 0.2500
Cu2 0.0000 0.5000 0.7500
Cu3 0.5000 0.0000 0.2500
Cu4 0.5000 0.0000 0.7500
Re1 0.0000 0.0000 0.4064
Re2 0.0000 0.0000 0.5936
Re3 0.5000 0.5000 0.0936
Re4 0.5000 0.5000 0.9064

Output
Magnetization = 0.000 μB/cell
Energy relative to the elements = 0.518 eV per atom

=====

Entry 18:
Here is a geometry-optimized AlCuRe2 structure from Alexandria. Energies are from PBE-GGA.

a b c (Å): 3.2872 4.2289 8.0185
angles (deg): 90.00 90.00 90.00
Fractional coordinates of all 8 atoms:
Al1 0.0000 0.0000 0.0000
Al2 0.5000 0.5000 0.5000
Cu1 0.0000 0.5000 0.7312
Cu2 0.5000 0.0000 0.2312
Re1 0.0000 0.0000 0.4885
Re2 0.0000 0.5000 0.2428
Re3 0.5000 0.0000 0.7428
Re4 0.5000 0.5000 0.9885

Output
Magnetization = 0.000 μB/cell
Energy relative to the elements = 0.054 eV per atom

=====

Entry 19:
Here is a geometry-optimized Al2CuRe structure from Alexandria. Energies are from PBE-GGA.

a b c (Å): 2.7042 2.7042 7.9097
angles (deg): 90.00 90.00 90.00
Fractional coordinates of all 4 atoms:
Al1 0.0000 0.0000 0.0000
Al2 0.5000 0.5000 0.2773
Cu1 0.0000 0.0000 0.5032
Re1 0.5000 0.5000 0.7493

Output
Magnetization = 0.000 μB/cell
Energy relative to the elements = 0.097 eV per atom

=====

Entry 20:
Here is a geometry-optimized Al2CuRe structure from Alexandria. Energies are from PBE-GGA.

a b c (Å): 2.8064 2.8064 25.5914
angles (deg): 90.00 90.00 120.00
Fractional coordinates of all 12 atoms:
Al1 0.0000 0.0000 0.0000
Al2 0.0000 0.0000 0.2445
Al3 0.3333 0.6667 0.6667
Al4 0.3333 0.6667 0.9112
Al5 0.6667 0.3333 0.3333
Al6 0.6667 0.3333 0.5779
Cu1 0.0000 0.0000 0.5004
Cu2 0.3333 0.6667 0.1671
Cu3 0.6667 0.3333 0.8338
Re1 0.0000 0.0000 0.7499
Re2 0.3333 0.6667 0.4166
Re3 0.6667 0.3333 0.0833

Output
Magnetization = 0.000 μB/cell
Energy relative to the elements = 0.032 eV per atom